# 1
Material: TaIn2Tc
Method: DFT, PBE-GGA
State: relaxed

Output
DFT total energy in eV per atom: -6.5385
D(E_F) in states/eV/f.u.: 4.918
Energy of formation from the pure elements in kJ/mol of formula units: 149
Crystal system: tetragonal

Geometry as CIF:
```
data_TaIn2Tc
_space_group_name_H-M_alt 'I 4/m m m'
_space_group_IT_number 139
_space_group_name_Hall '-I 4 2'
_cell_length_a 4.102
_cell_length_b 4.102
_cell_length_c 8.872
_cell_angle_alpha 90.00
_cell_angle_beta 90.00
_cell_angle_gamma 90.00
loop_
_atom_site_label
_atom_site_fract_x
_atom_site_fract_y
_atom_site_fract_z
_atom_site_occupancy
Ta1 0.000 0.000 0.000 1
In1 0.000 0.500 0.250 1
Tc1 0.000 0.000 0.500 1
```

=====

# 2
Material: Y3AgMo
Method: DFT, PBE-GGA
State: relaxed

Output
DFT total energy in eV per atom: -6.1399
D(E_F) in states/eV/f.u.: 5.162
Energy of formation from the pure elements in kJ/mol of formula units: 229
Crystal system: cubic

Geometry as CIF:
```
data_Y3AgMo
_space_group_name_H-M_alt 'P m -3 m'
_space_group_IT_number 221
_space_group_name_Hall '-P 4 2 3'
_cell_length_a 5.335
_cell_length_b 5.335
_cell_length_c 5.335
_cell_angle_alpha 90.00
_cell_angle_beta 90.00
_cell_angle_gamma 90.00
loop_
_atom_site_label
_atom_site_fract_x
_atom_site_fract_y
_atom_site_fract_z
_atom_site_occupancy
Y1 0.000 0.000 0.500 1
Ag1 0.500 0.500 0.500 1
Mo1 0.000 0.000 0.000 1
```

=====

What did the first record say?
Material: TaIn2Tc
Method: DFT, PBE-GGA
State: relaxed

Output
DFT total energy in eV per atom: -6.5385
D(E_F) in states/eV/f.u.: 4.918
Energy of formation from the pure elements in kJ/mol of formula units: 149
Crystal system: tetragonal

Geometry as CIF:
```
data_TaIn2Tc
_space_group_name_H-M_alt 'I 4/m m m'
_space_group_IT_number 139
_space_group_name_Hall '-I 4 2'
_cell_length_a 4.102
_cell_length_b 4.102
_cell_length_c 8.872
_cell_angle_alpha 90.00
_cell_angle_beta 90.00
_cell_angle_gamma 90.00
loop_
_atom_site_label
_atom_site_fract_x
_atom_site_fract_y
_atom_site_fract_z
_atom_site_occupancy
Ta1 0.000 0.000 0.000 1
In1 0.000 0.500 0.250 1
Tc1 0.000 0.000 0.500 1
```